#a
Density functional theory data (PBE+U) for MnH2NO after structural relaxation.

Summary:
density of states at the Fermi level = 0.3 states/eV/f.u.

Geometry as extended XYZ:
```
5
Lattice="-0.683 -1.892 2.934 2.503 -2.574 -1.077 2.722 1.876 1.843" Properties=species:S:1:pos:R:3 pbc="T T T"
Mn 1.998 -0.773 -0.033
H 2.223 1.206 2.283
N 0.108 0.074 0.073
H 1.853 0.181 3.872
O 2.040 -1.454 1.693
```

=====

#b
Density functional theory data (PBE+U) for MnH2NO after structural relaxation.

Summary:
density of states at the Fermi level = 0.7 states/eV/f.u.

Geometry as extended XYZ:
```
5
Lattice="-2.575 -1.458 -0.588 2.119 -1.486 2.154 -2.517 2.981 3.807" Properties=species:S:1:pos:R:3 pbc="T T T"
H -1.822 -0.996 0.369
N -2.266 -0.529 1.175
H -1.965 0.868 4.122
O -1.501 0.015 4.213
Mn 0.482 -0.125 3.625
```

=====

Of them, #a has the lowest stability.

=====

#a
Density functional theory data (PBE+U) for MnH2NO after structural relaxation.

Summary:
density of states at the Fermi level = 0.4 states/eV/f.u.

Geometry as extended XYZ:
```
5
Lattice="-3.017 -1.784 -0.807 0.485 -2.344 3.369 -0.205 2.760 1.950" Properties=species:S:1:pos:R:3 pbc="T T T"
O -1.550 -0.585 2.423
H -1.132 0.068 0.281
H -2.771 0.935 1.121
N -0.648 2.250 1.730
Mn -0.445 0.794 3.224
```

=====

#b
Density functional theory data (PBE+U) for MnH2NO after structural relaxation.

Summary:
density of states at the Fermi level = 0.9 states/eV/f.u.

Geometry as extended XYZ:
```
5
Lattice="-1.228 2.259 -2.446 -3.520 -0.318 1.473 0.781 2.602 2.426" Properties=species:S:1:pos:R:3 pbc="T T T"
H -2.624 1.490 -0.970
Mn -2.024 0.489 0.246
H -0.311 2.094 -0.292
O -1.516 1.596 1.697
N -0.313 1.083 -0.513
```

=====

#c
Density functional theory data (PBE+U) for MnH2NO after structural relaxation.

Geometry as extended XYZ:
```
5
Lattice="2.964 0.041 -0.153 1.444 3.049 -0.082 0.303 0.004 4.758" Properties=species:S:1:pos:R:3 pbc="T T T"
Mn 2.495 2.796 1.215
H 2.712 0.054 3.856
O 2.563 0.753 2.069
N 3.913 2.414 -0.200
H 1.244 1.492 4.198
```

=====

Of them, #b has the lowest stability.

=====

#a
Density functional theory data (PBE+U) for MnH2NO after structural relaxation.

Summary:
density of states at the Fermi level = 0.0 states/eV/f.u.

Geometry as extended XYZ:
```
5
Lattice="-0.196 -2.740 1.037 1.195 -1.659 -4.083 4.818 -0.671 -0.827" Properties=species:S:1:pos:R:3 pbc="T T T"
O 2.159 -1.924 -3.369
N 4.641 -1.826 -2.639
H 5.465 -2.106 -3.217
Mn 3.232 -3.247 -2.504
H 5.021 -1.503 -1.722
```

=====

#b
Density functional theory data (PBE+U) for MnH2NO after structural relaxation.

Summary:
density of states at the Fermi level = 0.2 states/eV/f.u.

Geometry as extended XYZ:
```
5
Lattice="-2.981 1.283 0.490 -1.633 -3.811 0.046 1.465 -0.592 2.875" Properties=species:S:1:pos:R:3 pbc="T T T"
O -1.205 -1.783 1.654
H -1.210 0.484 2.374
H -0.349 0.091 0.474
Mn -2.970 -1.039 0.707
N -2.486 1.007 0.506
```

=====

Of them, #b has the lowest stability.

=====

#a
Density functional theory data (PBE+U) for MnSiHNO after structural relaxation.

Summary:
density of states at the Fermi level = 0.1 states/eV/f.u.

Geometry as extended XYZ:
```
10
Lattice="3.016 0.000 0.000 0.000 3.236 0.000 0.000 0.000 10.641" Properties=species:S:1:pos:R:3 pbc="T T T"
H 0.000 0.000 2.785
Mn 1.508 0.000 0.303
N 0.000 1.618 0.833
N 0.000 0.000 6.154
O 1.508 1.618 3.397
Si 0.000 0.000 7.844
Mn 1.508 1.618 5.623
Si 0.000 1.618 2.524
H 0.000 1.618 8.105
O 1.508 0.000 8.718
```

=====

#b
Density functional theory data (PBE+U) for MnSiHNO after structural relaxation.

Geometry as extended XYZ:
```
10
Lattice="2.904 0.000 -0.071 0.000 2.955 0.000 -0.417 0.000 11.895" Properties=species:S:1:pos:R:3 pbc="T T T"
H 0.078 0.000 8.974
H 0.286 1.477 3.026
N -0.075 0.000 5.236
Si -0.058 1.477 6.135
Si 0.151 0.000 0.188
N -0.284 1.477 11.183
O 1.624 0.000 1.080
Mn 1.444 0.000 3.494
Mn 1.235 1.477 9.441
O 1.415 1.477 7.028
```

=====

#c
Density functional theory data (PBE+U) for MnSiHNO after structural relaxation.

Summary:
density of states at the Fermi level = 0.9 states/eV/f.u.

Geometry as extended XYZ:
```
10
Lattice="-1.276 6.113 -4.186 -2.528 -1.137 -0.889 -2.808 2.184 5.197" Properties=species:S:1:pos:R:3 pbc="T T T"
H -2.772 3.174 -0.939
N -3.050 1.940 1.428
Mn -1.510 3.019 0.435
Mn -4.179 3.543 2.589
O -2.714 6.670 -0.809
H -2.912 4.834 2.103
N -0.381 1.416 -0.726
O -2.574 5.010 -3.851
Si -2.812 0.659 2.390
Si -0.144 0.135 0.236
```

=====

#d
Density functional theory data (PBE+U) for MnSiHNO after structural relaxation.

Summary:
density of states at the Fermi level = 1.2 states/eV/f.u.

Geometry as extended XYZ:
```
5
Lattice="-2.449 -0.180 -1.203 2.236 -0.860 -1.319 -1.391 -6.224 4.063" Properties=species:S:1:pos:R:3 pbc="T T T"
Si -3.681 -6.291 2.689
H -0.343 -3.634 1.417
Mn 0.592 -2.355 -0.674
N -0.214 -2.698 1.020
O -1.997 -5.619 2.269
```

=====

Of them, #d has the lowest stability.